# PBE-GGA AlSiMo2, relaxed
# E_tot: -30.7 eV/f.u.
# E above lowest polymorph: 342 meV per atom
# E_form (uncorrected): 0.2 eV/f.u.
# total magnetic moment: 0.000 μB/cell
data_AlSiMo2
_chemical_formula_sum 'Al3 Si3 Mo6'
_cell_length_a 2.9249
_cell_length_b 2.9249
_cell_length_c 25.3173
_cell_angle_alpha 90.00
_cell_angle_beta 90.00
_cell_angle_gamma 120.00
_symmetry_space_group_name_H-M 'R 3 m'
_symmetry_Int_Tables_number 160
_symmetry_space_group_name_Hall 'R 3 -2"'
loop_
_atom_site_label
_atom_site_fract_x
_atom_site_fract_y
_atom_site_fract_z
_atom_site_occupancy
Al1 0.0000 0.0000 0.0000 1
Si1 0.0000 0.0000 0.7558 1
Mo1 0.0000 0.0000 0.2488 1
Mo2 0.0000 0.0000 0.4998 1

# PBE-GGA AlSi2Mo, relaxed
# E_tot: -25.0 eV/f.u.
# E_form (uncorrected): 0.4 eV/f.u.
# total magnetic moment: 0.000 μB/cell
data_AlSi2Mo
_chemical_formula_sum 'Al2 Si4 Mo2'
_cell_length_a 3.4701
_cell_length_b 4.4577
_cell_length_c 7.7304
_cell_angle_alpha 90.00
_cell_angle_beta 90.00
_cell_angle_gamma 90.00
_symmetry_space_group_name_H-M 'C m m m'
_symmetry_Int_Tables_number 65
_symmetry_space_group_name_Hall '-C 2 2'
loop_
_atom_site_label
_atom_site_fract_x
_atom_site_fract_y
_atom_site_fract_z
_atom_site_occupancy
Al1 0.0000 0.0000 0.0000 1
Si1 0.0000 0.5000 0.2581 1
Mo1 0.0000 0.0000 0.5000 1

# PBE-GGA Al2SiMo, relaxed
# E_tot: -23.6 eV/f.u.
# E_form (uncorrected): 0.2 eV/f.u.
# total magnetic moment: 0.000 μB/cell
data_Al2SiMo
_chemical_formula_sum 'Al2 Si1 Mo1'
_cell_length_a 2.7818
_cell_length_b 2.7818
_cell_length_c 7.9341
_cell_angle_alpha 90.00
_cell_angle_beta 90.00
_cell_angle_gamma 90.00
_symmetry_space_group_name_H-M 'P 4 m m'
_symmetry_Int_Tables_number 99
_symmetry_space_group_name_Hall 'P 4 -2'
loop_
_atom_site_label
_atom_site_fract_x
_atom_site_fract_y
_atom_site_fract_z
_atom_site_occupancy
Al1 0.0000 0.0000 0.0000 1
Al2 0.5000 0.5000 0.2650 1
Si1 0.5000 0.5000 0.7469 1
Mo1 0.0000 0.0000 0.5154 1

# PBE-GGA AlSi2Mo, relaxed
# E_tot: -25.5 eV/f.u.
# E_form (uncorrected): -0.1 eV/f.u.
# total magnetic moment: 0.000 μB/cell
data_AlSi2Mo
_chemical_formula_sum 'Al2 Si4 Mo2'
_cell_length_a 8.8726
_cell_length_b 2.8256
_cell_length_c 4.6805
_cell_angle_alpha 90.00
_cell_angle_beta 95.38
_cell_angle_gamma 90.00
_symmetry_space_group_name_H-M 'C 1 2/m 1'
_symmetry_Int_Tables_number 12
_symmetry_space_group_name_Hall '-C 2y'
loop_
_atom_site_label
_atom_site_fract_x
_atom_site_fract_y
_atom_site_fract_z
_atom_site_occupancy
Al1 0.0000 0.0000 0.0000 1
Si1 0.2404 0.0000 0.7321 1
Mo1 0.0000 0.5000 0.5000 1